Compound: Pr3NbCl3O6
Source: Alexandria
Functional: meta-GGA SCAN
Structure: PBEsol geometry

Cell and atoms, written as extended XYZ:
```
26
Lattice="-3.137 -2.662 -3.306 7.550 -3.703 -4.183 -3.957 -4.397 7.295" Properties=species:S:1:pos:R:3 pbc="T T T"
Pr -1.603 -4.910 -0.845
Pr 2.059 -5.852 0.651
Pr -1.429 -8.205 1.643
Pr 1.885 -2.557 -1.837
Pr -4.390 -5.371 2.171
Pr 4.846 -5.391 -2.365
Nb 1.361 -5.931 -2.836
Nb -0.906 -4.831 2.643
Cl 4.063 -6.328 -5.081
Cl -3.608 -4.435 4.888
Cl 0.775 -8.354 -0.330
Cl -0.320 -2.408 0.136
Cl -0.755 -3.111 -3.098
Cl 1.211 -7.651 2.905
O 2.600 -4.409 -3.214
O -2.145 -6.353 3.020
O 2.862 -6.599 -1.699
O -0.638 -5.074 4.608
O -2.406 -4.163 1.505
O 1.093 -5.688 -4.801
O 0.882 -4.866 -1.215
O -0.899 -2.885 3.093
O -0.426 -5.896 1.021
O 1.355 -7.878 -3.287
O 1.081 -4.617 2.609
O -0.625 -6.145 -2.802
```

* spin magnetization: 1.02 μB per formula unit
* symmetry: No. 176
* raw total energy: -20.315 eV per atom
* E_form (uncorrected): -3.052 eV per atom